Below is an optimized crystal structure of PtRh2, with properties calculated at the GGA-PBE level.

abc: 2.7455 3.8858 4.7570
angles: 114.11 106.77 90.00
Closest atoms and distances in Å follow each position.
Atoms (fractional coordinates):
Pt: 0.0000 0.0000 0.0000  10 Rh 2.74-2.75, 2 Pt 2.75
Rh: 0.3320 0.3320 0.6639  5 Pt 2.74-2.75, 7 Rh 2.74-2.77
Rh: 0.6680 0.6680 0.3361  5 Pt 2.74-2.75, 7 Rh 2.74-2.77

Results
Distance to the lowest polymorph of the same formula   5.4 meV per atom

=====

Below is an optimized crystal structure of SmGaGeIr2, with properties calculated at the GGA-PBE level.

abc: 4.3099 6.7251 7.1877
angles: 90.00 90.00 108.69
Closest atoms and distances in Å follow each position.
Atoms (fractional coordinates):
Sm: 0.3964 0.7928 0.7500  6 Ir 3.10-3.21, 4 Ge 3.10, 2 Ga 3.27
Sm: 0.6036 0.2072 0.2500  6 Ir 3.10-3.21, 4 Ge 3.10, 2 Ga 3.27
Ga: 0.7031 0.4062 0.7500  6 Ir 2.60-2.61
Ga: 0.2969 0.5938 0.2500  6 Ir 2.60-2.61
Ge: 0.0000 0.0000 0.0000  2 Ir 2.34
Ge: 0.0000 0.0000 0.5000  2 Ir 2.34
Ir: 0.1812 0.3625 0.9498  1 Ge 2.34, 3 Ga 2.60-2.61
Ir: 0.8188 0.6375 0.0502  1 Ge 2.34, 3 Ga 2.60-2.61
Ir: 0.1812 0.3625 0.5502  1 Ge 2.34, 3 Ga 2.60-2.61
Ir: 0.8188 0.6375 0.4498  1 Ge 2.34, 3 Ga 2.60-2.61

=====

Record order is preserved below.
Energy of formation: -0.021 -0.492 eV/atom